First-principles (GGA-PBE) data for crystalline CsTi2GaBr8 at its relaxed geometry, as listed in the Alexandria database.

Cell lengths 7.218, 7.218, 10.615 Å; angles 90.00, 90.00, 120.00 degrees
Site moments in Bohr magnetons follow the coordinates.
Atoms (fractional coordinates):
Br (0.324, 0.984, 0.689)  -0.01
Br (0.016, 0.340, 0.689)  -0.01
Br (0.340, 0.324, 0.311)  -0.01
Br (0.660, 0.676, 0.689)  -0.01
Br (0.676, 0.016, 0.311)  -0.01
Br (0.667, 0.333, 0.014)  -0.01
Br (0.984, 0.660, 0.311)  -0.01
Br (0.333, 0.667, 0.986)  -0.01
Ti (0.667, 0.333, 0.242)  0.91
Ti (0.333, 0.667, 0.758)  0.91
Cs (0.000, 0.000, 0.000)  0.00
Ga (0.000, 0.000, 0.500)  0.01

Results
* total magnetization: 2.00 μB per cell
* DOS(E_F): 1.032 states/eV/atom
* VASP energy: -3.895 eV/atom
* energy relative to the elements, uncorrected: -1140 meV/atom